Record 1
# KLa2TaZn

A relaxed KLa2TaZn crystal (PBEsol, Alexandria).

Unit cell a=5.0160 b=5.7397 c=5.7397 alpha=90.00 beta=90.00 gamma=90.00
Last column: nearest neighbours and their distance in Å.
Element x y z (fractional)
Zn 0.0000 0.0000 0.0000  2 Ta 2.51
La 0.0000 0.0000 0.5000  2 Zn 2.87
La 0.0000 0.5000 0.0000  2 Zn 2.87
K 0.5000 0.5000 0.5000  8 La 3.81, 4 Ta 4.06
Ta 0.5000 0.0000 0.0000  2 Zn 2.51

Energy of formation from the pure elements   891 meV per atom
Symmetry   P4/mmm

---

Record 2
# Na2LiGe

A relaxed Na2LiGe crystal (PBEsol, Alexandria).

Unit cell a=4.1710 b=4.1710 c=11.0103 alpha=100.92 beta=100.92 gamma=90.00
Last column: nearest neighbours and their distance in Å.
Element x y z (fractional)
Na 0.3630 0.8750 0.2500  4 Na 2.88-3.02, 2 Ge 3.02, 2 Li 3.05
Na 0.8870 0.3750 0.2500  4 Na 2.88-3.02, 2 Ge 3.02, 2 Li 3.05
Na 0.1250 0.1130 0.7500  4 Na 2.88-3.02, 2 Ge 3.02, 2 Li 3.05
Na 0.6250 0.6370 0.7500  4 Na 2.88-3.02, 2 Ge 3.02, 2 Li 3.05
Ge 0.2500 0.7500 0.5000  4 Li 2.95, 4 Na 3.02
Ge 0.0000 0.0000 0.0000  4 Li 2.95, 4 Na 3.02
Li 0.7500 0.2500 0.5000  4 Ge 2.95, 4 Na 3.05
Li 0.5000 0.5000 0.0000  4 Ge 2.95, 4 Na 3.05

Energy of formation from the pure elements   114 meV per atom
Symmetry   I-42d

---

Record 3
# TiTl3Ni

A relaxed TiTl3Ni crystal (PBEsol, Alexandria).

Unit cell a=4.9097 b=4.9097 c=4.9097 alpha=90.00 beta=90.00 gamma=90.00
Last column: nearest neighbours and their distance in Å.
Element x y z (fractional)
Ni 0.0000 0.0000 0.0000  6 Tl 2.45
Tl 0.0000 0.5000 0.0000  2 Ni 2.45
Tl 0.0000 0.0000 0.5000  2 Ni 2.45
Tl 0.5000 0.0000 0.0000  2 Ni 2.45
Ti 0.5000 0.5000 0.5000  12 Tl 3.47

Energy of formation from the pure elements   583 meV per atom
Symmetry   Pm-3m

---

Record 4
# Ca2InB

A relaxed Ca2InB crystal (PBEsol, Alexandria).

Unit cell a=6.4498 b=6.4498 c=6.4498 alpha=103.66 beta=103.66 gamma=121.85
Last column: nearest neighbours and their distance in Å.
Element x y z (fractional)
Ca 0.8051 0.8750 0.4301  2 B 2.58
Ca 0.4449 0.3750 0.5699  2 B 2.58
Ca 0.1250 0.5551 0.9301  2 B 2.58
Ca 0.6250 0.1949 0.0699  2 B 2.58
B 0.5000 0.5000 0.0000  4 Ca 2.58
B 0.7500 0.2500 0.5000  4 Ca 2.58
In 0.0000 0.0000 0.0000  2 B 3.13, 8 Ca 3.33-3.40
In 0.2500 0.7500 0.5000  2 B 3.13, 8 Ca 3.33-3.40

Energy of formation from the pure elements   444 meV per atom
Energy above the most stable polymorph in this dataset   0.170 eV per atom
Symmetry   I-42d

---

Record 5
# HgGeSbH2

A relaxed HgGeSbH2 crystal (PBEsol, Alexandria).

Unit cell a=3.9556 b=3.9556 c=5.6308 alpha=90.00 beta=90.00 gamma=90.00
Last column: nearest neighbours and their distance in Å.
Element x y z (fractional)
Sb 0.0000 0.0000 0.0000  4 H 1.98
Ge 0.0000 0.0000 0.5000  4 Hg 2.80, 2 Sb 2.82
Hg 0.5000 0.5000 0.5000  4 Ge 2.80
H 0.0000 0.5000 0.0000  2 Sb 1.98
H 0.5000 0.0000 0.0000  2 Sb 1.98

Energy   -0.1109 hartree per atom
Symmetry   P4/mmm

---

Record 6
# ZrSc2F

A relaxed ZrSc2F crystal (PBEsol, Alexandria).

Unit cell a=3.0127 b=3.0127 c=9.4047 alpha=80.78 beta=80.78 gamma=60.00
Last column: nearest neighbours and their distance in Å.
Element x y z (fractional)
Sc 0.8939 0.8939 0.3183  3 F 2.42
Sc 0.1061 0.1061 0.6817  3 F 2.42
Zr 0.0000 0.0000 0.0000  2 Sc 2.94, 6 Zr 3.01
F 0.5000 0.5000 0.5000  6 Sc 2.42

Energy relative to the elements, uncorrected   -3.32 eV/f.u.
Symmetry   R-3m

---

Record 7
# SrTlI2N

A relaxed SrTlI2N crystal (PBEsol, Alexandria).

Unit cell a=4.0896 b=6.1721 c=6.1721 alpha=90.00 beta=90.00 gamma=90.00
Last column: nearest neighbours and their distance in Å.
Element x y z (fractional)
I 0.0000 0.0000 0.5000  2 Tl 3.09
I 0.0000 0.5000 0.0000  2 Tl 3.09
Sr 0.5000 0.5000 0.5000  8 I 3.70, 2 Sr 4.09
Tl 0.0000 0.0000 0.0000  2 N 2.04
N 0.5000 0.0000 0.0000  2 Tl 2.04

Energy relative to the elements, uncorrected   0.16 eV/f.u.
Symmetry   P4/mmm

---

Record 8
# YTa2Se

A relaxed YTa2Se crystal (PBEsol, Alexandria).

Unit cell a=4.7747 b=4.7747 c=4.7747 alpha=60.00 beta=60.00 gamma=60.00
Last column: nearest neighbours and their distance in Å.
Element x y z (fractional)
Se 0.5000 0.5000 0.5000  4 Ta 2.92, 4 Y 2.92
Ta 0.0000 0.0000 0.0000  4 Y 2.92, 4 Ta 2.92
Ta 0.7500 0.7500 0.7500  4 Ta 2.92, 4 Se 2.92
Y 0.2500 0.2500 0.2500  4 Se 2.92, 4 Ta 2.92

Energy relative to the elements, uncorrected   0.75 eV/f.u.
Symmetry   F-43m

---

Record 9
# CaRe2Tc

A relaxed CaRe2Tc crystal (PBEsol, Alexandria).

Unit cell a=2.6984 b=2.6984 c=9.4434 alpha=90.00 beta=90.00 gamma=109.75
Last column: nearest neighbours and their distance in Å.
Element x y z (fractional)
Ca 0.5000 0.5000 0.0000  4 Ca 2.70, 4 Re 3.02
Re 0.0000 0.0000 0.2741  2 Tc 2.64, 4 Re 2.70
Re 0.0000 0.0000 0.7259  2 Tc 2.64, 4 Re 2.70
Tc 0.5000 0.5000 0.5000  4 Re 2.64, 4 Tc 2.70

Energy of formation from the pure elements   572 meV per atom
Symmetry   Cmmm

---

Record 10
# LuAgW2O8

A relaxed LuAgW2O8 crystal (PBEsol, Alexandria).

Unit cell a=7.0891 b=7.1854 c=7.1854 alpha=94.83 beta=114.06 gamma=114.06
Last column: nearest neighbours and their distance in Å.
Element x y z (fractional)
Lu 0.0000 0.3069 0.6931  8 O 2.22-2.45
Lu 0.0000 0.6931 0.3069  8 O 2.22-2.45
Ag 0.5227 0.6809 0.6809  2 O 2.25-2.41
Ag 0.4773 0.3191 0.3191  2 O 2.25-2.41
W 0.9759 0.2102 0.2102  3 O 1.79-1.86
W 0.0241 0.7898 0.7898  3 O 1.79-1.86
W 0.5000 0.1663 0.8337  4 O 1.78-1.90
W 0.5000 0.8337 0.1663  4 O 1.78-1.90
O 0.7596 0.1051 0.3556  2 W 1.90-2.12
O 0.2404 0.8949 0.6444  2 W 1.90-2.12
O 0.2404 0.6444 0.8949  2 W 1.90-2.12
O 0.7596 0.3556 0.1051  2 W 1.90-2.12
O 0.6543 0.2199 0.6842  1 W 1.78
O 0.3457 0.7801 0.3158  1 W 1.78
O 0.3457 0.3158 0.7801  1 W 1.78
O 0.6543 0.6842 0.2199  1 W 1.78
O 0.9096 0.9653 0.6984  1 W 1.79
O 0.0904 0.0347 0.3016  1 W 1.79
O 0.0904 0.3016 0.0347  1 W 1.79
O 0.9096 0.6984 0.9653  1 W 1.79
O 0.6610 0.9757 0.9757  3 W 2.01-2.19
O 0.3390 0.0243 0.0243  3 W 2.01-2.19
O 0.8598 0.5516 0.5516  1 W 1.86
O 0.1402 0.4484 0.4484  1 W 1.86

Energy relative to the elements, uncorrected   -27.04 eV/f.u.
Symmetry   C2/m

---

Record 11
# Mn2CdSi

A relaxed Mn2CdSi crystal (PBEsol, Alexandria).

Unit cell a=3.7055 b=3.7055 c=4.9042 alpha=112.20 beta=112.20 gamma=90.00
Last column: nearest neighbours and their distance in Å.
Element x y z (fractional)
Cd 0.2500 0.7500 0.5000  8 Mn 2.62-2.78, 4 Si 2.78
Mn 0.0000 0.0000 0.0000  4 Si 2.62, 4 Cd 2.78, 4 Mn 2.78
Mn 0.7500 0.2500 0.5000  4 Cd 2.62, 4 Si 2.78, 4 Mn 2.78
Si 0.5000 0.5000 0.0000  8 Mn 2.62-2.78, 4 Cd 2.78

Energy relative to the elements, uncorrected   1.03 eV/f.u.
Energy above the most stable polymorph in this dataset   0.064 eV per atom
Symmetry   I-4m2

---

Record 12
# Y3CrN

A relaxed Y3CrN crystal (PBEsol, Alexandria).

Unit cell a=4.9052 b=4.9052 c=4.9052 alpha=90.00 beta=90.00 gamma=90.00
Last column: nearest neighbours and their distance in Å.
Element x y z (fractional)
Y 0.0000 0.5000 0.0000  2 Cr 2.45
Y 0.0000 0.0000 0.5000  2 Cr 2.45
Y 0.5000 0.0000 0.0000  2 Cr 2.45
Cr 0.0000 0.0000 0.0000  6 Y 2.45
N 0.5000 0.5000 0.5000  12 Y 3.47

Energy relative to the elements, uncorrected   5.77 eV/f.u.
Symmetry   Pm-3m

---

Record 13
# BaZnAgF7

A relaxed BaZnAgF7 crystal (PBEsol, Alexandria).

Unit cell a=5.6492 b=9.7071 c=10.0280 alpha=90.00 beta=90.00 gamma=92.85
Last column: nearest neighbours and their distance in Å.
Element x y z (fractional)
Ba 0.2639 0.4972 0.6797  7 F 2.63-2.92
Ba 0.7361 0.0028 0.1797  7 F 2.63-2.92
Ba 0.7361 0.5028 0.3203  7 F 2.63-2.92
Ba 0.2639 0.9972 0.8203  7 F 2.63-2.92
Zn 0.6916 0.8077 0.6044  5 F 1.92-2.08
Zn 0.3084 0.6923 0.1044  5 F 1.92-2.08
Zn 0.6916 0.3077 0.8956  5 F 1.92-2.08
Zn 0.3084 0.1923 0.3956  5 F 1.92-2.08
Ag 0.1941 0.8158 0.3894  6 F 2.05-2.10
Ag 0.8059 0.1842 0.6106  6 F 2.05-2.10
Ag 0.1941 0.3158 0.1106  6 F 2.05-2.10
Ag 0.8059 0.6842 0.8894  6 F 2.05-2.10
F 0.1334 0.1175 0.5533  1 Zn 1.98, 1 Ag 2.07
F 0.3683 0.3789 0.9374  1 Zn 2.03, 1 Ag 2.07
F 0.4924 0.7532 0.2846  1 Ag 2.10, 1 Zn 2.15
F 0.5076 0.2468 0.7154  1 Ag 2.10, 1 Zn 2.15
F 0.9018 0.3760 0.5382  1 Ag 2.05
F 0.2589 0.5094 0.2010  1 Zn 2.03, 1 Ag 2.10
F 0.0178 0.7521 0.2138  1 Zn 2.08, 1 Ag 2.10
F 0.0982 0.1240 0.0382  1 Ag 2.05
F 0.3683 0.8789 0.5626  1 Zn 2.03, 1 Ag 2.07
F 0.5076 0.7468 0.7846  1 Ag 2.10, 1 Zn 2.15
F 0.1334 0.6175 0.9467  1 Zn 1.98, 1 Ag 2.07
F 0.8666 0.8825 0.4467  1 Zn 1.98, 1 Ag 2.07
F 0.9822 0.7479 0.7138  1 Zn 2.08, 1 Ag 2.10
F 0.4008 0.8726 0.0381  1 Zn 1.92
F 0.0982 0.6240 0.4618  1 Ag 2.05
F 0.9018 0.8760 0.9618  1 Ag 2.05
F 0.9822 0.2479 0.7862  1 Zn 2.08, 1 Ag 2.10
F 0.8666 0.3825 0.0533  1 Zn 1.98, 1 Ag 2.07
F 0.5992 0.6274 0.5381  1 Zn 1.92
F 0.6317 0.6211 0.0626  1 Zn 2.03, 1 Ag 2.07
F 0.5992 0.1274 0.9619  1 Zn 1.92
F 0.0178 0.2521 0.2862  1 Zn 2.08, 1 Ag 2.10
F 0.4008 0.3726 0.4619  1 Zn 1.92
F 0.7411 0.9906 0.7010  1 Zn 2.03, 1 Ag 2.10
F 0.7411 0.4906 0.7990  1 Zn 2.03, 1 Ag 2.10
F 0.2589 0.0094 0.2990  1 Zn 2.03, 1 Ag 2.10
F 0.6317 0.1211 0.4374  1 Zn 2.03, 1 Ag 2.07
F 0.4924 0.2532 0.2154  1 Ag 2.10, 1 Zn 2.15

Energy relative to the elements, uncorrected   -22.67 eV/f.u.
Symmetry   P2_1/c

---

Record 14
# BePb2Br

A relaxed BePb2Br crystal (PBEsol, Alexandria).

Unit cell a=3.3792 b=3.3792 c=8.3562 alpha=90.00 beta=90.00 gamma=90.65
Last column: nearest neighbours and their distance in Å.
Element x y z (fractional)
Pb 0.0000 0.0000 0.2813  4 Be 3.00-3.02, 2 Br 3.34
Pb 0.0000 0.0000 0.7187  4 Be 3.00-3.02, 2 Br 3.34
Be 0.5000 0.5000 0.5000  8 Pb 3.00-3.02
Br 0.5000 0.5000 0.0000  8 Pb 3.34-3.36, 4 Br 3.38

Energy relative to the elements, uncorrected   0.78 eV/f.u.
Energy above the most stable polymorph in this dataset   0.000 eV per atom
Symmetry   Cmmm

---

Record 15
# Nd3SmGa4O12

A relaxed Nd3SmGa4O12 crystal (PBEsol, Alexandria).

Unit cell a=5.3914 b=5.5364 c=7.6861 alpha=90.00 beta=90.00 gamma=90.08
Last column: nearest neighbours and their distance in Å.
Element x y z (fractional)
Nd 0.9868 0.9481 0.0000  6 O 2.34-2.55
Nd 0.4865 0.5508 0.5000  6 O 2.34-2.56
Nd 0.0140 0.0527 0.5000  6 O 2.35-2.55
Sm 0.5145 0.4443 0.0000  6 O 2.31-2.52
Ga 0.0003 0.5002 0.7511  6 O 1.98-2.00
Ga 0.4998 0.9992 0.2492  6 O 1.98-2.01
Ga 0.0003 0.5002 0.2489  6 O 1.98-2.00
Ga 0.4998 0.9992 0.7508  6 O 1.98-2.01
O 0.4146 0.0253 0.0000  2 Ga 1.98
O 0.0928 0.5209 0.0000  2 Ga 1.98
O 0.5854 0.9789 0.5000  2 Ga 1.99
O 0.9153 0.4808 0.5000  2 Ga 1.99
O 0.7906 0.2088 0.7969  2 Ga 1.98-2.00
O 0.7056 0.7049 0.2011  2 Ga 1.99-2.01
O 0.2068 0.7935 0.2954  2 Ga 1.98-2.00
O 0.2919 0.2925 0.7049  2 Ga 1.98-2.01
O 0.2068 0.7935 0.7046  2 Ga 1.98-2.00
O 0.2919 0.2925 0.2951  2 Ga 1.98-2.01
O 0.7906 0.2088 0.2031  2 Ga 1.98-2.00
O 0.7056 0.7049 0.7989  2 Ga 1.99-2.01

Energy relative to the elements, uncorrected   -54.36 eV/f.u.
Symmetry   Pm

---

Record 16
# SrCd4In

A relaxed SrCd4In crystal (PBEsol, Alexandria).

Unit cell a=5.9490 b=5.9490 c=5.9490 alpha=60.00 beta=60.00 gamma=60.00
Last column: nearest neighbours and their distance in Å.
Element x y z (fractional)
Sr 0.0000 0.0000 0.0000  12 Cd 3.49, 4 In 3.64
Cd 0.3749 0.3749 0.3749  6 Cd 2.97-2.98
Cd 0.3749 0.3749 0.8754  6 Cd 2.97-2.98
Cd 0.8754 0.3749 0.3749  6 Cd 2.97-2.98
Cd 0.3749 0.8754 0.3749  6 Cd 2.97-2.98
In 0.7500 0.7500 0.7500  12 Cd 3.49, 4 Sr 3.64

Energy of formation from the pure elements   -175 meV per atom
Symmetry   F-43m

---

Record 17
# CrCuOs2

A relaxed CrCuOs2 crystal (PBEsol, Alexandria).

Unit cell a=2.6587 b=4.5304 c=4.5911 alpha=100.98 beta=90.00 gamma=107.06
Last column: nearest neighbours and their distance in Å.
Element x y z (fractional)
Cr 0.0000 0.0000 0.5000  6 Os 2.51-2.72, 4 Cu 2.65, 2 Cr 2.66
Cu 0.5000 0.0000 0.0000  6 Os 2.57-2.70, 4 Cr 2.65, 2 Cu 2.66
Os 0.7370 0.4740 0.7400  3 Cr 2.51-2.72, 3 Cu 2.57-2.70, 6 Os 2.62-2.70
Os 0.2630 0.5260 0.2600  3 Cr 2.51-2.72, 3 Cu 2.57-2.70, 6 Os 2.62-2.70

Energy of formation from the pure elements   245 meV per atom
Energy above the most stable polymorph in this dataset   0.000 eV per atom
Symmetry   C2/m

---

Record 18
# MnRhSe2

A relaxed MnRhSe2 crystal (PBEsol, Alexandria).

Unit cell a=4.4072 b=4.4072 c=4.4072 alpha=60.00 beta=60.00 gamma=60.00
Last column: nearest neighbours and their distance in Å.
Element x y z (fractional)
Mn 0.0000 0.0000 0.0000  8 Se 2.70
Rh 0.5000 0.5000 0.5000  8 Se 2.70
Se 0.2500 0.2500 0.2500  4 Rh 2.70, 4 Mn 2.70
Se 0.7500 0.7500 0.7500  4 Mn 2.70, 4 Rh 2.70

Energy relative to the elements, uncorrected   -0.18 eV/f.u.
Energy above the most stable polymorph in this dataset   0.231 eV per atom
Symmetry   Fm-3m

---

Record 19
# LiIn2Hg

A relaxed LiIn2Hg crystal (PBEsol, Alexandria).

Unit cell a=3.3121 b=4.2864 c=6.1213 alpha=90.00 beta=90.00 gamma=90.00
Last column: nearest neighbours and their distance in Å.
Element x y z (fractional)
In 0.0000 0.0000 0.9986  2 Li 2.97-3.15, 6 In 3.14-3.31, 4 Hg 3.17
In 0.5000 0.5000 0.2582  2 Hg 2.89-3.23, 4 Li 3.13, 4 In 3.14
Hg 0.5000 0.5000 0.7304  6 In 2.89-3.23, 4 Li 3.02
Li 0.0000 0.0000 0.5128  6 In 2.97-3.15, 4 Hg 3.02, 2 Li 3.31

Energy of formation from the pure elements   -193 meV per atom
Symmetry   Pmm2

---

Record 20
# KPtBr

A relaxed KPtBr crystal (PBEsol, Alexandria).

Unit cell a=3.7758 b=3.7758 c=6.2247 alpha=107.66 beta=107.66 gamma=90.00
Last column: nearest neighbours and their distance in Å.
Element x y z (fractional)
Br 0.9297 0.9297 0.8594  4 Pt 2.69, 1 K 2.94
K 0.6685 0.6685 0.3370  1 Br 2.94, 1 Pt 3.00
Pt 0.4018 0.4018 0.8036  4 Br 2.69, 1 K 3.00

Energy relative to the elements, uncorrected   -0.06 eV/f.u.
Symmetry   I4mm

---

Record 21
# LaFeW2

A relaxed LaFeW2 crystal (PBEsol, Alexandria).

Unit cell a=3.7786 b=3.7786 c=5.6663 alpha=109.48 beta=109.48 gamma=90.00
Last column: nearest neighbours and their distance in Å.
Element x y z (fractional)
Fe 0.5000 0.5000 0.0000  4 La 2.67
La 0.0000 0.0000 0.0000  4 Fe 2.67
W 0.7500 0.2500 0.5000  4 W 2.67
W 0.2500 0.7500 0.5000  4 W 2.67

Energy of formation from the pure elements   940 meV per atom
Energy above the most stable polymorph in this dataset   0.485 eV per atom
Symmetry   I4/mmm

---

Record 22
# KIr2Au

A relaxed KIr2Au crystal (PBEsol, Alexandria).

Unit cell a=2.5827 b=5.4986 c=5.4986 alpha=117.96 beta=90.00 gamma=90.00
Last column: nearest neighbours and their distance in Å.
Element x y z (fractional)
Au 0.5000 0.5000 0.5000  2 Au 2.58, 2 K 2.83
Ir 0.0000 0.5000 0.0000  4 Ir 2.58-2.83
Ir 0.0000 0.0000 0.5000  4 Ir 2.58-2.83
K 0.5000 0.0000 0.0000  2 K 2.58, 2 Au 2.83

Energy of formation from the pure elements   893 meV per atom
Energy above the most stable polymorph in this dataset   0.510 eV per atom
Symmetry   Cmmm

---

Record 23
# NaCrSe2

A relaxed NaCrSe2 crystal (PBEsol, Alexandria).

Unit cell a=4.6935 b=4.6935 c=4.6935 alpha=60.00 beta=60.00 gamma=60.00
Last column: nearest neighbours and their distance in Å.
Element x y z (fractional)
Cr 0.5000 0.5000 0.5000  8 Se 2.87
Se 0.2500 0.2500 0.2500  4 Cr 2.87, 4 Na 2.87
Se 0.7500 0.7500 0.7500  4 Cr 2.87, 4 Na 2.87
Na 0.0000 0.0000 0.0000  8 Se 2.87

Energy relative to the elements, uncorrected   -1.01 eV/f.u.
Symmetry   Fm-3m

---

Record 24
# LaMg2Cu

A relaxed LaMg2Cu crystal (PBEsol, Alexandria).

Unit cell a=3.3496 b=3.3496 c=9.7519 alpha=80.11 beta=80.11 gamma=60.00
Last column: nearest neighbours and their distance in Å.
Element x y z (fractional)
Cu 0.4926 0.4926 0.5221  3 Mg 2.65, 3 La 2.95
La 0.2371 0.2371 0.2888  3 Cu 2.95
Mg 0.0073 0.0073 0.9781  9 Mg 3.20-3.35, 3 La 3.54
Mg 0.7630 0.7630 0.7110  3 Cu 2.65

Energy of formation from the pure elements   136 meV per atom
Symmetry   R3m